Entry 1:
Compound: BeTcIr2
Source: Alexandria
Functional: meta-GGA SCAN
Structure: single point on PBEsol structure

Total moment in μB per formula unit: 0.00
ρ in g/cm³: 15.481
ΔE_f in meV/atom: 46.1
Uncorrected energy in eV per atom: -45.357

Lattice parameters (Å, degrees): 2.7377 4.3289 4.4480 90.00 90.00 90.00
Fractional positions:
Be (0.0000, 0.0000, 0.0000)
Tc (0.5000, 0.0000, 0.5000)
Ir (0.0000, 0.5000, 0.5000)
Ir (0.5000, 0.5000, 0.0000)

=====

Entry 2:
Compound: YSnSN2
Source: Alexandria
Functional: meta-GGA SCAN
Structure: single point on PBEsol structure

ΔE_f (raw) in meV per atom: 338
Total moment in μB per formula unit: 3.00
ρ in g/cm³: 4.326
Uncorrected energy in eV per atom: -18.057

Lattice parameters (Å, degrees): 4.4051 4.4051 5.2959 90.00 90.00 90.00
Fractional positions:
Y (0.0000, 0.0000, 0.0000)
Sn (0.5000, 0.5000, 0.5000)
S (0.0000, 0.0000, 0.5000)
N (0.0000, 0.5000, 0.0000)
N (0.5000, 0.0000, 0.0000)

=====

Entry 3:
Compound: Eu2InPt2
Source: Alexandria
Functional: meta-GGA SCAN
Structure: single point on PBEsol structure

Total moment in μB per formula unit: 14.15
ρ in g/cm³: 11.801
ΔE_f in meV/atom: -1049.0
Uncorrected energy in eV per atom: -57.288

Lattice parameters (Å, degrees): 5.7752 5.7752 8.2006 102.64 102.64 59.32
Fractional positions:
Eu (0.0009, 0.7032, 0.8513)
Eu (0.2968, 0.9991, 0.6487)
Eu (0.7032, 0.0009, 0.3513)
Eu (0.9991, 0.2968, 0.1487)
In (0.3426, 0.6574, 0.2500)
In (0.6574, 0.3426, 0.7500)
Pt (0.2268, 0.5006, 0.4986)
Pt (0.4994, 0.7732, 0.0014)
Pt (0.5006, 0.2268, 0.9986)
Pt (0.7732, 0.4994, 0.5014)

=====

Entry 4:
Compound: CdSb3As
Source: Alexandria
Functional: meta-GGA SCAN
Structure: single point on PBEsol structure

ΔE_f (raw) in meV per atom: 692
Total moment in μB per formula unit: 0.00
ρ in g/cm³: 6.042
Uncorrected energy in eV per atom: -31.785

Lattice parameters (Å, degrees): 5.3353 5.3353 5.3353 90.00 90.00 90.00
Fractional positions:
Cd (0.0000, 0.0000, 0.0000)
Sb (0.0000, 0.5000, 0.5000)
Sb (0.5000, 0.0000, 0.5000)
Sb (0.5000, 0.5000, 0.0000)
As (0.5000, 0.5000, 0.5000)

=====

Entry 5:
Compound: BeAs3Ru
Source: Alexandria
Functional: meta-GGA SCAN
Structure: single point on PBEsol structure

Total moment in μB per formula unit: 0.00
ρ in g/cm³: 6.968
ΔE_f in meV/atom: 874.0
Uncorrected energy in eV per atom: -19.076

Lattice parameters (Å, degrees): 4.3052 4.3052 4.3052 90.00 90.00 90.00
Fractional positions:
Be (0.0000, 0.0000, 0.0000)
As (0.0000, 0.0000, 0.5000)
As (0.0000, 0.5000, 0.0000)
As (0.5000, 0.0000, 0.0000)
Ru (0.5000, 0.5000, 0.5000)

=====

Entry 6:
Compound: Ta2PbCl
Source: Alexandria
Functional: meta-GGA SCAN
Structure: single point on PBEsol structure

ΔE_f (raw) in meV per atom: 792
Total moment in μB per formula unit: 0.00
ρ in g/cm³: 13.040
Uncorrected energy in eV per atom: -53.440

Lattice parameters (Å, degrees): 5.1732 5.1732 5.1732 131.07 131.07 71.70
Fractional positions:
Ta (0.0000, 0.0000, 0.0000)
Ta (0.7500, 0.2500, 0.5000)
Pb (0.2500, 0.7500, 0.5000)
Cl (0.5000, 0.5000, 0.0000)

=====

Entry 7:
Compound: Ca3GaSi
Source: Alexandria
Functional: meta-GGA SCAN
Structure: single point on PBEsol structure

ΔE_f (raw) in meV per atom: -50
Total moment in μB per formula unit: 0.00
ρ in g/cm³: 2.107
Uncorrected energy in eV per atom: -11.121

Lattice parameters (Å, degrees): 5.5598 5.5598 5.5598 90.00 90.00 90.00
Fractional positions:
Ca (0.0000, 0.0000, 0.5000)
Ca (0.0000, 0.5000, 0.0000)
Ca (0.5000, 0.0000, 0.0000)
Ga (0.5000, 0.5000, 0.5000)
Si (0.0000, 0.0000, 0.0000)

=====

Entry 8:
Compound: BrCl3
Source: Alexandria
Functional: meta-GGA SCAN
Structure: single point on PBEsol structure

ΔE_f (raw) in meV per atom: 95
Total moment in μB per formula unit: 0.00
ρ in g/cm³: 2.634
Uncorrected energy in eV per atom: -10.754

Lattice parameters (Å, degrees): 3.6406 6.7992 4.7433 90.00 90.29 90.00
Fractional positions:
Br (0.0000, 0.0000, 0.0000)
Cl (0.0000, 0.0000, 0.5000)
Cl (0.4114, 0.5000, 0.2998)
Cl (0.5886, 0.5000, 0.7002)

=====

Entry 9:
Compound: Sr2TiAgRu
Source: Alexandria
Functional: meta-GGA SCAN
Structure: single point on PBEsol structure

Total moment in μB per formula unit: 5.02
ρ in g/cm³: 4.761
ΔE_f in meV/atom: 1397.7
Uncorrected energy in eV per atom: -23.957

Lattice parameters (Å, degrees): 5.6490 5.6490 4.7217 90.00 90.00 90.00
Fractional positions:
Sr (0.0000, 0.5000, 0.0000)
Sr (0.5000, 0.0000, 0.0000)
Ti (0.0000, 0.0000, 0.0000)
Ag (0.0000, 0.0000, 0.5000)
Ru (0.5000, 0.5000, 0.5000)

=====

Entry 10:
Compound: Sb2IrRu
Source: Alexandria
Functional: meta-GGA SCAN
Structure: single point on PBEsol structure

ΔE_f (raw) in meV per atom: 318
Total moment in μB per formula unit: 0.00
ρ in g/cm³: 12.893
Uncorrected energy in eV per atom: -44.793

Lattice parameters (Å, degrees): 4.5609 4.5609 3.3318 90.00 90.00 94.00
Fractional positions:
Sb (0.0000, 0.5000, 0.0000)
Sb (0.5000, 0.0000, 0.0000)
Ir (0.0000, 0.0000, 0.5000)
Ru (0.5000, 0.5000, 0.5000)

=====

Entry 11:
Compound: ZrRh2Cl
Source: Alexandria
Functional: meta-GGA SCAN
Structure: single point on PBEsol structure

ΔE_f (raw) in meV per atom: -297
Total moment in μB per formula unit: 1.29
ρ in g/cm³: 8.630
Uncorrected energy in eV per atom: -26.851

Lattice parameters (Å, degrees): 2.9606 2.9606 7.2985 90.00 90.00 90.00
Fractional positions:
Zr (0.0000, 0.0000, 0.0000)
Rh (0.0000, 0.0000, 0.5153)
Rh (0.5000, 0.5000, 0.7451)
Cl (0.5000, 0.5000, 0.2261)

=====

Entry 12:
Compound: FeRu2Cl
Source: Alexandria
Functional: meta-GGA SCAN
Structure: single point on PBEsol structure

ΔE_f (raw) in meV per atom: 806
Total moment in μB per formula unit: 4.82
ρ in g/cm³: 9.406
Uncorrected energy in eV per atom: -23.134

Lattice parameters (Å, degrees): 4.2897 4.2897 2.8152 90.00 90.00 90.00
Fractional positions:
Fe (0.0000, 0.0000, 0.0000)
Ru (0.0000, 0.5000, 0.5000)
Ru (0.5000, 0.0000, 0.5000)
Cl (0.5000, 0.5000, 0.0000)

=====

Entry 13:
Compound: B2PtI
Source: Alexandria
Functional: meta-GGA SCAN
Structure: single point on PBEsol structure

ΔE_f (raw) in meV per atom: 678
Total moment in μB per formula unit: 0.00
ρ in g/cm³: 8.118
Uncorrected energy in eV per atom: -29.771

Lattice parameters (Å, degrees): 6.3503 6.3503 6.3503 131.52 131.52 70.98
Fractional positions:
B (0.0402, 0.6250, 0.9152)
B (0.3750, 0.2902, 0.4152)
B (0.7098, 0.1250, 0.0848)
B (0.8750, 0.9598, 0.5848)
Pt (0.0000, 0.0000, 0.0000)
Pt (0.7500, 0.2500, 0.5000)
I (0.2500, 0.7500, 0.5000)
I (0.5000, 0.5000, 0.0000)

=====

Entry 14:
Compound: Ba2ICl2
Source: Alexandria
Functional: meta-GGA SCAN
Structure: single point on PBEsol structure

ΔE_f (raw) in meV per atom: -2166
Total moment in μB per formula unit: 1.00
ρ in g/cm³: 4.099
Uncorrected energy in eV per atom: -28.526

Lattice parameters (Å, degrees): 8.3126 8.3126 8.3126 144.64 144.64 50.87
Fractional positions:
Ba (0.1349, 0.1349, 0.0000)
Ba (0.8651, 0.8651, 0.0000)
I (0.5000, 0.5000, 0.0000)
Cl (0.2500, 0.7500, 0.5000)
Cl (0.7500, 0.2500, 0.5000)

=====

Entry 15:
Compound: Ce2HfCo16
Source: Alexandria
Functional: meta-GGA SCAN
Structure: single point on PBEsol structure

Total moment in μB per formula unit: 21.02
ρ in g/cm³: 9.855
ΔE_f in meV/atom: -40.6
Uncorrected energy in eV per atom: -22.602

Lattice parameters (Å, degrees): 8.2281 8.2281 8.0562 90.00 90.00 120.00
Fractional positions:
Ce (0.0000, 0.0000, 0.2479)
Ce (0.0000, 0.0000, 0.7521)
Ce (0.3333, 0.6667, 0.2696)
Ce (0.6667, 0.3333, 0.7304)
Hf (0.3333, 0.6667, 0.8874)
Hf (0.6667, 0.3333, 0.1126)
Co (0.0000, 0.5000, 0.0000)
Co (0.0000, 0.5000, 0.5000)
Co (0.0386, 0.3656, 0.7487)
Co (0.0386, 0.6730, 0.7487)
Co (0.1635, 0.3270, 0.0280)
Co (0.1635, 0.8365, 0.0280)
Co (0.1658, 0.3317, 0.4842)
Co (0.1658, 0.8342, 0.4842)
Co (0.3270, 0.1635, 0.9720)
Co (0.3270, 0.3656, 0.7487)
Co (0.3270, 0.9614, 0.7487)
Co (0.3317, 0.1658, 0.5158)
Co (0.3333, 0.6667, 0.5901)
Co (0.3656, 0.0386, 0.2513)
Co (0.3656, 0.3270, 0.2513)
Co (0.5000, 0.0000, 0.0000)
Co (0.5000, 0.0000, 0.5000)
Co (0.5000, 0.5000, 0.0000)
Co (0.5000, 0.5000, 0.5000)
Co (0.6344, 0.6730, 0.7487)
Co (0.6344, 0.9614, 0.7487)
Co (0.6667, 0.3333, 0.4099)
Co (0.6683, 0.8342, 0.4842)
Co (0.6730, 0.0386, 0.2513)
Co (0.6730, 0.6344, 0.2513)
Co (0.6730, 0.8365, 0.0280)
Co (0.8342, 0.1658, 0.5158)
Co (0.8342, 0.6683, 0.5158)
Co (0.8365, 0.1635, 0.9720)
Co (0.8365, 0.6730, 0.9720)
Co (0.9614, 0.3270, 0.2513)
Co (0.9614, 0.6344, 0.2513)

=====

Entry 16:
Compound: ZrMoCl
Source: Alexandria
Functional: meta-GGA SCAN
Structure: single point on PBEsol structure

ΔE_f (raw) in meV per atom: 169
Total moment in μB per formula unit: 0.00
ρ in g/cm³: 7.314
Uncorrected energy in eV per atom: -24.352

Lattice parameters (Å, degrees): 4.4348 4.4348 2.9672 90.00 90.00 120.00
Fractional positions:
Zr (0.0000, 0.0000, 0.0000)
Mo (0.6667, 0.3333, 0.5976)
Cl (0.3333, 0.6667, 0.6127)

=====

Entry 17:
Compound: YTl2Ru
Source: Alexandria
Functional: meta-GGA SCAN
Structure: single point on PBEsol structure

Total moment in μB per formula unit: 0.00
ρ in g/cm³: 11.460
ΔE_f in meV/atom: 33.9
Uncorrected energy in eV per atom: -51.813

Lattice parameters (Å, degrees): 3.3418 4.7388 5.6330 90.00 103.46 90.00
Fractional positions:
Y (0.0000, 0.0000, 0.0000)
Tl (0.3531, 0.5000, 0.7286)
Tl (0.6469, 0.5000, 0.2714)
Ru (0.5000, 0.0000, 0.5000)

=====

Entry 18:
Compound: SnAs2PBr
Source: Alexandria
Functional: meta-GGA SCAN
Structure: single point on PBEsol structure

ΔE_f (raw) in meV per atom: 1089
Total moment in μB per formula unit: 0.25
ρ in g/cm³: 4.431
Uncorrected energy in eV per atom: -20.143

Lattice parameters (Å, degrees): 5.2496 5.2496 5.1598 90.00 90.00 90.00
Fractional positions:
Sn (0.0000, 0.0000, 0.0000)
As (0.0000, 0.5000, 0.0000)
As (0.5000, 0.0000, 0.0000)
P (0.5000, 0.5000, 0.5000)
Br (0.0000, 0.0000, 0.5000)

=====

Entry 19:
Compound: VZnBiO5
Source: Alexandria
Functional: meta-GGA SCAN
Structure: single point on PBEsol structure

ΔE_f (raw) in meV per atom: -1933
Total moment in μB per formula unit: 0.00
ρ in g/cm³: 6.051
Uncorrected energy in eV per atom: -19.525

Lattice parameters (Å, degrees): 5.2685 11.5976 7.8951 90.00 112.74 90.00
Fractional positions:
V (0.1814, 0.1483, 0.4681)
V (0.1814, 0.3517, 0.9681)
V (0.8186, 0.6483, 0.0319)
V (0.8186, 0.8517, 0.5319)
Zn (0.4512, 0.5810, 0.3281)
Zn (0.4512, 0.9190, 0.8281)
Zn (0.5488, 0.0810, 0.1719)
Zn (0.5488, 0.4190, 0.6719)
Bi (0.0671, 0.5974, 0.6803)
Bi (0.0671, 0.9026, 0.1803)
Bi (0.9329, 0.0974, 0.8197)
Bi (0.9329, 0.4026, 0.3197)
O (0.1603, 0.6756, 0.1404)
O (0.1603, 0.8244, 0.6404)
O (0.2390, 0.5262, 0.4834)
O (0.2390, 0.9738, 0.9834)
O (0.2416, 0.0745, 0.6692)
O (0.2416, 0.4255, 0.1692)
O (0.2960, 0.0676, 0.3264)
O (0.2960, 0.4324, 0.8264)
O (0.3198, 0.2150, 0.0099)
O (0.3198, 0.2850, 0.5099)
O (0.6802, 0.7150, 0.4901)
O (0.6802, 0.7850, 0.9901)
O (0.7040, 0.5676, 0.1736)
O (0.7040, 0.9324, 0.6736)
O (0.7584, 0.5745, 0.8308)
O (0.7584, 0.9255, 0.3308)
O (0.7610, 0.0262, 0.0166)
O (0.7610, 0.4738, 0.5166)
O (0.8397, 0.1756, 0.3596)
O (0.8397, 0.3244, 0.8596)

=====

Entry 20:
Compound: NdAlSi
Source: Alexandria
Functional: meta-GGA SCAN
Structure: single point on PBEsol structure

ΔE_f (raw) in meV per atom: -707
Total moment in μB per formula unit: 0.00
ρ in g/cm³: 5.249
Uncorrected energy in eV per atom: -21.157

Lattice parameters (Å, degrees): 4.1994 4.1994 4.1282 90.00 90.00 120.00
Fractional positions:
Nd (0.0000, 0.0000, 0.0000)
Al (0.6667, 0.3333, 0.5000)
Si (0.3333, 0.6667, 0.5000)